(1)
This record from the Alexandria database describes Sr2LiCu2 after structural relaxation. The functional is GGA-PBE.

Values from the calculation:
**Crystal system**: orthorhombic
**Excess energy over the best structure of this formula in the dataset**: 0.0 meV per atom
**Symmetry**: Cmmm
**E_form**: -0.056 eV/atom
**Magnetization**: 0.0 μB/f.u.

```
Sr2LiCu2
1.0
2.1719 -7.6060 0.0000
2.1719 7.6060 0.0000
0.0000 0.0000 4.2439
Sr Li Cu
2 1 2
Cartesian
2.1719 5.5280 0.0000 Sr
2.1719 -5.5280 0.0000 Sr
2.1719 0.0000 2.1220 Li
2.1719 3.1622 2.1220 Cu
2.1719 -3.1622 2.1220 Cu
```

(2)
This record from the Alexandria database describes KSm3Te4 after structural relaxation. The functional is GGA-PBE.

Values from the calculation:
**Crystal system**: hexagonal
**Symmetry**: P6_3/mmc
**Formation energy from raw total energies**: -1396 meV/atom
**Magnetization**: 0.0 μB/f.u.

```
KSm3Te4
1.0
4.4985 0.0000 0.0000
-2.2493 3.8958 0.0000
0.0000 0.0000 31.0599
K Sm Te
2 6 8
Cartesian
0.0000 2.5972 7.7650 K
2.2493 1.2986 23.2949 K
0.0000 0.0000 0.0000 Sm
0.0000 0.0000 15.5299 Sm
0.0000 2.5972 19.1222 Sm
0.0000 2.5972 27.4676 Sm
2.2493 1.2986 3.5922 Sm
2.2493 1.2986 11.9377 Sm
0.0000 0.0000 5.3616 Te
0.0000 0.0000 10.1683 Te
0.0000 0.0000 20.8916 Te
0.0000 0.0000 25.6982 Te
0.0000 2.5972 1.7930 Te
0.0000 2.5972 13.7370 Te
2.2493 1.2986 17.3229 Te
2.2493 1.2986 29.2669 Te
```

(3)
This record from the Alexandria database describes Nd12Sn6Hg after structural relaxation. The functional is GGA-PBE.

Values from the calculation:
**Crystal system**: trigonal
**Symmetry**: R-3
**E_form**: -0.362 eV/atom
**Magnetization**: 0.0 μB/f.u.

```
Nd12Sn6Hg
1.0
6.9814 4.0307 4.1660
-6.9814 4.0307 4.1660
0.0000 -8.0615 4.1660
Nd Sn Hg
12 6 1
Cartesian
-4.3777 -4.7530 6.9437 Nd
-6.3051 1.4147 5.5542 Nd
-1.6106 -2.0651 4.8639 Nd
1.9274 -6.1677 5.5542 Nd
-0.9832 2.4274 4.8639 Nd
-2.5938 0.3622 7.6341 Nd
2.5938 -0.3622 4.8639 Nd
0.9832 -2.4274 7.6341 Nd
-1.9274 6.1677 6.9437 Nd
1.6106 2.0652 7.6341 Nd
6.3051 -1.4147 6.9437 Nd
4.3777 4.7530 5.5542 Nd
-3.4673 0.4971 4.4418 Sn
1.3031 -3.2513 4.4418 Sn
-2.1642 -2.7542 8.0562 Sn
2.1642 2.7542 4.4418 Sn
-1.3031 3.2513 8.0562 Sn
3.4673 -0.4972 8.0562 Sn
0.0000 0.0000 0.0000 Hg
```

(4)
This record from the Alexandria database describes BaSrSmBiO6 after structural relaxation. The functional is GGA-PBE.

Values from the calculation:
**Crystal system**: cubic
**Symmetry**: F-43m
**Formation energy from raw total energies**: -2312 meV/atom
**Magnetization**: 0.0 μB/f.u.

```
BaSrSmBiO6
1.0
0.0000 4.3813 4.3813
4.3813 0.0000 4.3813
4.3813 4.3813 0.0000
Ba Sr Sm Bi O
1 1 1 1 6
Cartesian
0.0000 0.0000 0.0000 Ba
4.3813 4.3813 4.3813 Sr
6.5720 6.5720 6.5720 Sm
2.1907 2.1907 2.1907 Bi
2.1907 2.1907 0.0742 O
2.1907 0.0742 2.1907 O
4.3072 2.1907 2.1907 O
0.0742 2.1907 2.1907 O
2.1907 4.3072 2.1907 O
2.1907 2.1907 4.3072 O
```

(5)
This record from the Alexandria database describes NpPaS3 after structural relaxation. The functional is GGA-PBE.

Values from the calculation:
**Crystal system**: monoclinic
**Excess energy over the best structure of this formula in the dataset**: 202.1 meV per atom
**Symmetry**: C2/c
**Formation energy from raw total energies**: -1367 meV/atom
**Magnetization**: 0.7 μB/f.u.

```
NpPaS3
1.0
6.7172 -5.5706 0.0000
6.7172 5.5706 0.0000
-0.9832 0.0000 6.6314
Np Pa S
4 4 12
Cartesian
5.9798 4.6118 4.9736 Np
6.4714 2.5207 1.6579 Np
5.9798 -2.5207 4.9736 Np
6.4714 -4.6118 1.6579 Np
2.6584 0.8858 4.3665 Pa
3.1500 -0.8858 1.0507 Pa
9.3011 0.8858 5.5807 Pa
9.7927 -0.8858 2.2650 Pa
0.6619 0.9940 6.2919 S
4.5168 2.7649 3.5671 S
1.1535 -0.9940 2.9762 S
5.0148 0.7914 0.0589 S
7.4427 2.7649 6.3801 S
4.5232 -0.7914 3.3747 S
7.9279 0.7914 3.2568 S
5.0084 -2.7649 0.2514 S
7.4363 -0.7914 6.5725 S
11.2976 0.9940 3.6552 S
7.9343 -2.7649 3.0644 S
11.7892 -0.9940 0.3395 S
```

(6)
This record from the Alexandria database describes Ba2AlAg6Sn after structural relaxation. The functional is GGA-PBE.

Values from the calculation:
**Crystal system**: orthorhombic
**Symmetry**: Immm
**E_form**: -0.118 eV/atom
**Magnetization**: 0.0 μB/f.u.

```
Ba2AlAg6Sn
1.0
-3.6785 3.6926 5.2055
3.6785 -3.6926 5.2055
3.6785 3.6926 -5.2055
Ba Al Ag Sn
2 1 6 1
Cartesian
0.0000 0.0000 2.6012 Ba
0.0000 0.0000 7.8097 Ba
0.0000 3.6926 0.0000 Al
3.6785 0.0000 2.7107 Ag
1.7643 1.9246 0.0000 Ag
1.9143 -1.7680 5.2055 Ag
1.7643 5.4607 0.0000 Ag
1.9143 1.7680 5.2055 Ag
0.0000 3.6926 2.4947 Ag
3.6785 0.0000 0.0000 Sn
```

Repeat the fifth record exactly.
This record from the Alexandria database describes NpPaS3 after structural relaxation. The functional is GGA-PBE.

Values from the calculation:
**Crystal system**: monoclinic
**Excess energy over the best structure of this formula in the dataset**: 202.1 meV per atom
**Symmetry**: C2/c
**Formation energy from raw total energies**: -1367 meV/atom
**Magnetization**: 0.7 μB/f.u.

```
NpPaS3
1.0
6.7172 -5.5706 0.0000
6.7172 5.5706 0.0000
-0.9832 0.0000 6.6314
Np Pa S
4 4 12
Cartesian
5.9798 4.6118 4.9736 Np
6.4714 2.5207 1.6579 Np
5.9798 -2.5207 4.9736 Np
6.4714 -4.6118 1.6579 Np
2.6584 0.8858 4.3665 Pa
3.1500 -0.8858 1.0507 Pa
9.3011 0.8858 5.5807 Pa
9.7927 -0.8858 2.2650 Pa
0.6619 0.9940 6.2919 S
4.5168 2.7649 3.5671 S
1.1535 -0.9940 2.9762 S
5.0148 0.7914 0.0589 S
7.4427 2.7649 6.3801 S
4.5232 -0.7914 3.3747 S
7.9279 0.7914 3.2568 S
5.0084 -2.7649 0.2514 S
7.4363 -0.7914 6.5725 S
11.2976 0.9940 3.6552 S
7.9343 -2.7649 3.0644 S
11.7892 -0.9940 0.3395 S
```

Copy entry 1 word for word.
This record from the Alexandria database describes Sr2LiCu2 after structural relaxation. The functional is GGA-PBE.

Values from the calculation:
**Crystal system**: orthorhombic
**Excess energy over the best structure of this formula in the dataset**: 0.0 meV per atom
**Symmetry**: Cmmm
**E_form**: -0.056 eV/atom
**Magnetization**: 0.0 μB/f.u.

```
Sr2LiCu2
1.0
2.1719 -7.6060 0.0000
2.1719 7.6060 0.0000
0.0000 0.0000 4.2439
Sr Li Cu
2 1 2
Cartesian
2.1719 5.5280 0.0000 Sr
2.1719 -5.5280 0.0000 Sr
2.1719 0.0000 2.1220 Li
2.1719 3.1622 2.1220 Cu
2.1719 -3.1622 2.1220 Cu
```

What is the magnetization in the fifth record?
0.7 μB/f.u.